Compound: Pu2MgHg3
Source: the Alexandria database
Functional: PBE
Structure: optimized geometry

Values from the calculation:
Total energy = -31.05 eV/f.u.
DOS at the Fermi energy = 7.84 states/eV/f.u.

Structure (CIF):
```
data_Pu2MgHg3
_space_group_name_H-M_alt 'C m c m'
_space_group_IT_number 63
_space_group_name_Hall '-C 2c 2'
_cell_length_a 3.425
_cell_length_b 26.853
_cell_length_c 6.113
_cell_angle_alpha 90.00
_cell_angle_beta 90.00
_cell_angle_gamma 90.00
loop_
_atom_site_label
_atom_site_type_symbol
_atom_site_fract_x
_atom_site_fract_y
_atom_site_fract_z
Pu1 Pu 0.000 0.004 0.250
Pu2 Pu 0.000 0.431 0.750
Mg1 Mg 0.000 0.259 0.750
Hg1 Hg 0.000 0.168 0.007
Hg2 Hg 0.000 0.406 0.250
```